LaPuCdO6: optimized geometry, PBE.

abc: 5.6543 5.6543 10.3109
angles: 90.00 90.00 120.00
Space group P-31c (No. 163)
Unique sites:
La (0.0000, 0.0000, 0.0000)
Pu (0.3333, 0.6667, 0.2500)
Cd (0.3333, 0.6667, 0.7500)
O (0.0417, 0.3712, 0.1376)

Its energy relative to the elements, uncorrected is -2368 meV per atom.

La2MnCu12Ni3: optimized geometry, PBE.

abc: 7.9065 7.9065 17.7684
angles: 90.00 90.00 120.00
Space group R-3m (No. 166, hexagonal axes)
Unique sites:
La (0.0000, 0.0000, 0.1132)
Mn (0.0000, 0.0000, 0.5000)
Cu (0.0030, 0.5015, 0.8719)
Cu (0.0183, 0.5092, 0.3659)
Ni (0.0000, 0.5000, 0.0000)

Its energy of formation from the pure elements is 8.6 eV per formula unit.

Y2MnRh: optimized geometry, PBE.

abc: 3.829 4.280 11.001
angles: 90.00 90.00 90.00
Space group Amm2 (No. 38)
Unique sites:
Y (0.000, 0.000, 0.000)
Y (0.500, 0.000, 0.292)
Mn (0.000, 0.000, 0.708)
Rh (0.500, 0.000, 0.562)

Its energy of formation from the pure elements is -1.3 eV per formula unit.

Pm3AlO6: optimized geometry, PBE.

abc: 9.173 11.485 5.533
angles: 90.00 90.00 90.00
Space group Cmc2_1 (No. 36)
Unique sites:
Pm (0.000, 0.104, 0.000)
Pm (0.192, 0.393, 0.957)
Al (0.000, 0.307, 0.419)
O (0.000, 0.287, 0.739)
O (0.000, 0.453, 0.300)
O (0.150, 0.240, 0.263)
O (0.160, 0.013, 0.726)

Its energy relative to the elements, uncorrected is -3342 meV per atom.

CsMgGa2Os: optimized geometry, PBE.

abc: 4.958 4.958 5.280
angles: 90.00 90.00 90.00
Space group P4/mmm (No. 123)
Unique sites:
Cs (0.000, 0.000, 0.000)
Mg (0.500, 0.500, 0.000)
Ga (0.000, 0.500, 0.500)
Os (0.500, 0.500, 0.500)

Its energy of formation from the pure elements is -0.1 eV per formula unit.

BeTlRh3: optimized geometry, PBE.

abc: 4.944 4.944 4.944
angles: 90.00 90.00 90.00
Space group Pm-3m (No. 221)
Unique sites:
Be (0.000, 0.000, 0.000)
Tl (0.500, 0.500, 0.500)
Rh (0.000, 0.500, 0.500)

Its energy of formation from the pure elements is 9.5 eV per formula unit.

Rb2CaNi3H12: optimized geometry, PBE.

abc: 6.4978 6.4978 15.4532
angles: 90.00 90.00 120.00
Space group R-3m (No. 166, hexagonal axes)
Unique sites:
Rb (0.0000, 0.0000, 0.1101)
Ca (0.0000, 0.0000, 0.5000)
Ni (0.0000, 0.5000, 0.0000)
H (0.0170, 0.5085, 0.9013)
H (0.0965, 0.5483, 0.3292)

The calculation puts the energy at -3.60 eV/atom.

LaTcPb: optimized geometry, PBE.

abc: 3.523 3.523 11.904
angles: 90.00 90.00 90.00
Space group I4mm (No. 107)
Unique sites:
La (0.000, 0.000, 0.000)
Tc (0.000, 0.000, 0.658)
Pb (0.000, 0.000, 0.279)

Its energy of formation from the pure elements is 0.3 eV per formula unit.

Pr8NiS3Br4: optimized geometry, PBE.

abc: 8.2737 8.2737 22.2637
angles: 90.00 90.00 120.00
Space group R-3m (No. 166, hexagonal axes)
Unique sites:
Pr (0.0000, 0.0000, 0.2336)
Pr (0.0072, 0.5036, 0.2342)
Ni (0.0000, 0.0000, 0.5000)
S (0.0000, 0.5000, 0.5000)
Br (0.0000, 0.0000, 0.0000)
Br (0.0000, 0.5000, 0.0000)

Its energy relative to the elements, uncorrected is -1405 meV per atom.

Pr3Er3Si4: optimized geometry, PBE.

abc: 4.371 10.773 10.614
angles: 90.00 90.00 90.00
Space group Amm2 (No. 38)
Unique sites:
Pr (0.000, 0.000, 0.000)
Pr (0.000, 0.178, 0.327)
Er (0.000, 0.000, 0.648)
Er (0.500, 0.249, 0.075)
Si (0.500, 0.000, 0.213)
Si (0.500, 0.000, 0.447)
Si (0.500, 0.113, 0.819)

Its energy relative to the elements, uncorrected is -683 meV per atom.

Cd2IrCl: optimized geometry, PBE.

abc: 3.263 3.206 7.852
angles: 90.00 90.07 90.00
Space group P2/m (No. 10)
Unique sites:
Cd (0.001, 0.000, 0.212)
Ir (0.500, 0.500, 0.000)
Cl (0.000, 0.500, 0.500)

Its energy relative to the elements, uncorrected is -129 meV per atom.

SiPtCBr2: optimized geometry, PBE.

abc: 5.242 5.242 3.878
angles: 90.00 90.00 90.00
Space group P4/mmm (No. 123)
Unique sites:
Si (0.000, 0.000, 0.000)
Pt (0.500, 0.500, 0.000)
C (0.500, 0.500, 0.500)
Br (0.000, 0.500, 0.500)

Its energy relative to the elements, uncorrected is 1116 meV per atom.